Entry 1:
Zn3InMo | meta-GGA SCAN | single point on PBEsol structure

Properties
E_tot: -20.81 eV/atom
formation energy from the elements: 4.79 eV/f.u.

Cell and atoms, written as CIF:
```
data_Zn3InMo
_chemical_formula_sum 'Zn3 In1 Mo1'
_cell_length_a 4.8466
_cell_length_b 4.8466
_cell_length_c 4.8466
_cell_angle_alpha 90.00
_cell_angle_beta 90.00
_cell_angle_gamma 90.00
_symmetry_space_group_name_H-M 'P m -3 m'
_symmetry_Int_Tables_number 221
_symmetry_space_group_name_Hall '-P 4 2 3'
loop_
_atom_site_label
_atom_site_fract_x
_atom_site_fract_y
_atom_site_fract_z
Zn1 0.0000 0.0000 0.5000
In1 0.5000 0.5000 0.5000
Mo1 0.0000 0.0000 0.0000
```

Entry 2:
AsRhSe2F | meta-GGA SCAN | single point on PBEsol structure

Properties
E_tot: -18.82 eV/atom
ΔE_f (raw): 0.71 eV per atom

Cell and atoms, written as CIF:
```
data_AsRhSe2F
_chemical_formula_sum 'As1 Rh1 Se2 F1'
_cell_length_a 4.6691
_cell_length_b 4.6691
_cell_length_c 4.0185
_cell_angle_alpha 90.00
_cell_angle_beta 90.00
_cell_angle_gamma 90.00
_symmetry_space_group_name_H-M 'P 4/m m m'
_symmetry_Int_Tables_number 123
_symmetry_space_group_name_Hall '-P 4 2'
loop_
_atom_site_label
_atom_site_fract_x
_atom_site_fract_y
_atom_site_fract_z
As1 0.0000 0.0000 0.0000
Rh1 0.5000 0.5000 0.0000
Se1 0.0000 0.5000 0.5000
F1 0.0000 0.0000 0.5000
```

Entry 3:
Cs2CdSeO | meta-GGA SCAN | single point on PBEsol structure

Properties
E_tot: -26.77 eV/atom
ΔE_f (raw): -0.30 eV per atom

Cell and atoms, written as CIF:
```
data_Cs2CdSeO
_chemical_formula_sum 'Cs2 Cd1 Se1 O1'
_cell_length_a 6.9621
_cell_length_b 6.9621
_cell_length_c 5.0144
_cell_angle_alpha 90.00
_cell_angle_beta 90.00
_cell_angle_gamma 90.00
_symmetry_space_group_name_H-M 'P 4/m m m'
_symmetry_Int_Tables_number 123
_symmetry_space_group_name_Hall '-P 4 2'
loop_
_atom_site_label
_atom_site_fract_x
_atom_site_fract_y
_atom_site_fract_z
Cs1 0.0000 0.5000 0.0000
Cd1 0.0000 0.0000 0.0000
Se1 0.0000 0.0000 0.5000
O1 0.5000 0.5000 0.5000
```

Entry 4:
Ga2Sn2Bi | meta-GGA SCAN | single point on PBEsol structure

Properties
energy above the most stable polymorph in this dataset: 0 meV/atom
E_tot: -36.47 eV/atom
formation energy from the elements: 0.76 eV/f.u.

Cell and atoms, written as CIF:
```
data_Ga2Sn2Bi
_chemical_formula_sum 'Ga4 Sn4 Bi2'
_cell_length_a 3.8430
_cell_length_b 3.8430
_cell_length_c 16.5341
_cell_angle_alpha 90.00
_cell_angle_beta 90.00
_cell_angle_gamma 90.00
_symmetry_space_group_name_H-M 'I 4/m m m'
_symmetry_Int_Tables_number 139
_symmetry_space_group_name_Hall '-I 4 2'
loop_
_atom_site_label
_atom_site_fract_x
_atom_site_fract_y
_atom_site_fract_z
Ga1 0.0000 0.5000 0.2500
Sn1 0.0000 0.0000 0.1127
Bi1 0.0000 0.0000 0.5000
```

Entry 5:
CdCoAu2 | meta-GGA SCAN | single point on PBEsol structure

Properties
E_tot: -46.52 eV/atom
formation energy from the elements: -0.06 eV/f.u.

Cell and atoms, written as CIF:
```
data_CdCoAu2
_chemical_formula_sum 'Cd2 Co2 Au4'
_cell_length_a 4.0507
_cell_length_b 4.0507
_cell_length_c 7.7561
_cell_angle_alpha 90.00
_cell_angle_beta 90.00
_cell_angle_gamma 90.00
_symmetry_space_group_name_H-M 'I 4/m m m'
_symmetry_Int_Tables_number 139
_symmetry_space_group_name_Hall '-I 4 2'
loop_
_atom_site_label
_atom_site_fract_x
_atom_site_fract_y
_atom_site_fract_z
Cd1 0.0000 0.0000 0.0000
Co1 0.0000 0.0000 0.5000
Au1 0.0000 0.5000 0.2500
```

Entry 6:
Cr2SiP | meta-GGA SCAN | single point on PBEsol structure

Properties
energy above the most stable polymorph in this dataset: 168 meV/atom
E_tot: -14.28 eV/atom
ΔE_f (raw): 0.02 eV per atom

Cell and atoms, written as CIF:
```
data_Cr2SiP
_chemical_formula_sum 'Cr6 Si3 P3'
_cell_length_a 2.6833
_cell_length_b 2.6833
_cell_length_c 22.3602
_cell_angle_alpha 90.00
_cell_angle_beta 90.00
_cell_angle_gamma 120.00
_symmetry_space_group_name_H-M 'R -3 m'
_symmetry_Int_Tables_number 166
_symmetry_space_group_name_Hall '-R 3 2"'
loop_
_atom_site_label
_atom_site_fract_x
_atom_site_fract_y
_atom_site_fract_z
Cr1 0.0000 0.0000 0.2459
Si1 0.0000 0.0000 0.0000
P1 0.0000 0.0000 0.5000
```

Entry 7:
KGa2Cl7 | meta-GGA SCAN | single point on PBEsol structure

Properties
E_tot: -11.16 eV/atom
ΔE_f (raw): -1.47 eV per atom

Cell and atoms, written as CIF:
```
data_KGa2Cl7
_chemical_formula_sum 'K4 Ga8 Cl28'
_cell_length_a 12.0153
_cell_length_b 9.3429
_cell_length_c 10.2705
_cell_angle_alpha 90.00
_cell_angle_beta 90.00
_cell_angle_gamma 90.00
_symmetry_space_group_name_H-M 'P n a 21'
_symmetry_Int_Tables_number 33
loop_
_symmetry_equiv_pos_as_xyz
'x,y,z'
'-x,-y,z+1/2'
'-x+1/2,y+1/2,z+1/2'
'x+1/2,-y+1/2,z'
loop_
_atom_site_label
_atom_site_fract_x
_atom_site_fract_y
_atom_site_fract_z
K1 0.1057 0.1434 0.0000
Ga1 0.1189 0.6129 0.8532
Ga2 0.1740 0.0558 0.6153
Cl1 0.0103 0.1377 0.6605
Cl2 0.0176 0.7925 0.7933
Cl3 0.0327 0.4684 0.9812
Cl4 0.1662 0.8644 0.4953
Cl5 0.2097 0.5106 0.6982
Cl6 0.2196 0.5440 0.2827
Cl7 0.2485 0.2269 0.4797
```

Entry 8:
Fe11Si5 | meta-GGA SCAN | single point on PBEsol structure

Properties
E_tot: -15.91 eV/atom
ΔE_f (raw): -0.32 eV per atom

Cell and atoms, written as CIF:
```
data_Fe11Si5
_chemical_formula_sum 'Fe11 Si5'
_cell_length_a 5.4955
_cell_length_b 5.4955
_cell_length_c 5.4955
_cell_angle_alpha 90.00
_cell_angle_beta 90.00
_cell_angle_gamma 90.00
_symmetry_space_group_name_H-M 'P m -3 m'
_symmetry_Int_Tables_number 221
_symmetry_space_group_name_Hall '-P 4 2 3'
loop_
_atom_site_label
_atom_site_fract_x
_atom_site_fract_y
_atom_site_fract_z
Fe1 0.0000 0.0000 0.5000
Fe2 0.2523 0.2523 0.2523
Si1 0.0000 0.0000 0.0000
Si2 0.0000 0.5000 0.5000
Si3 0.5000 0.5000 0.5000
```

Entry 9:
CaB3O | meta-GGA SCAN | single point on PBEsol structure

Properties
E_tot: -4.43 eV/atom
ΔE_f (raw): 3.20 eV per atom

Cell and atoms, written as CIF:
```
data_CaB3O
_chemical_formula_sum 'Ca1 B3 O1'
_cell_length_a 4.7904
_cell_length_b 4.7904
_cell_length_c 4.7904
_cell_angle_alpha 90.00
_cell_angle_beta 90.00
_cell_angle_gamma 90.00
_symmetry_space_group_name_H-M 'P m -3 m'
_symmetry_Int_Tables_number 221
_symmetry_space_group_name_Hall '-P 4 2 3'
loop_
_atom_site_label
_atom_site_fract_x
_atom_site_fract_y
_atom_site_fract_z
Ca1 0.0000 0.0000 0.0000
B1 0.0000 0.0000 0.5000
O1 0.5000 0.5000 0.5000
```

Entry 10:
La2Ir | meta-GGA SCAN | single point on PBEsol structure

Properties
E_tot: -53.18 eV/atom
formation energy from the elements: -2.22 eV/f.u.

Cell and atoms, written as CIF:
```
data_La2Ir
_chemical_formula_sum 'La8 Ir4'
_cell_length_a 6.9813
_cell_length_b 6.9813
_cell_length_c 6.9813
_cell_angle_alpha 90.00
_cell_angle_beta 90.00
_cell_angle_gamma 90.00
_symmetry_space_group_name_H-M 'F m -3 m'
_symmetry_Int_Tables_number 225
_symmetry_space_group_name_Hall '-F 4 2 3'
loop_
_atom_site_label
_atom_site_fract_x
_atom_site_fract_y
_atom_site_fract_z
La1 0.2500 0.2500 0.2500
Ir1 0.0000 0.0000 0.0000
```

Entry 11:
Fe3Re | meta-GGA SCAN | single point on PBEsol structure

Properties
E_tot: -31.14 eV/atom
formation energy from the elements: 0.93 eV/f.u.

Cell and atoms, written as CIF:
```
data_Fe3Re
_chemical_formula_sum 'Fe3 Re1'
_cell_length_a 2.5548
_cell_length_b 3.9848
_cell_length_c 4.3705
_cell_angle_alpha 90.00
_cell_angle_beta 90.00
_cell_angle_gamma 90.00
_symmetry_space_group_name_H-M 'P m m 2'
_symmetry_Int_Tables_number 25
loop_
_symmetry_equiv_pos_as_xyz
'x,y,z'
'-x,-y,z'
'-x,y,z'
'x,-y,z'
loop_
_atom_site_label
_atom_site_fract_x
_atom_site_fract_y
_atom_site_fract_z
Fe1 0.0000 0.0000 0.0000
Fe2 0.0000 0.5000 0.3223
Fe3 0.5000 0.0000 0.4662
Re1 0.5000 0.5000 0.8151
```

Entry 12:
ScCoSi2 | meta-GGA SCAN | single point on PBEsol structure

Properties
E_tot: -13.19 eV/atom
ΔE_f (raw): -0.30 eV per atom

Cell and atoms, written as CIF:
```
data_ScCoSi2
_chemical_formula_sum 'Sc1 Co1 Si2'
_cell_length_a 3.0372
_cell_length_b 3.0372
_cell_length_c 6.0391
_cell_angle_alpha 90.00
_cell_angle_beta 90.00
_cell_angle_gamma 90.00
_symmetry_space_group_name_H-M 'P 4 m m'
_symmetry_Int_Tables_number 99
loop_
_symmetry_equiv_pos_as_xyz
'x,y,z'
'-y,x,z'
'-x,-y,z'
'y,-x,z'
'-x,y,z'
'y,x,z'
'x,-y,z'
'-y,-x,z'
loop_
_atom_site_label
_atom_site_fract_x
_atom_site_fract_y
_atom_site_fract_z
Sc1 0.0000 0.0000 0.0000
Co1 0.5000 0.5000 0.6788
Si1 0.0000 0.0000 0.5304
Si2 0.5000 0.5000 0.2908
```

Number 1: Fermi-level density of states 3.1 states/eV per cell. Number 2: Fermi-level density of states 5.3 states/eV per cell. Number 3: Fermi-level density of states 0.7 states/eV per cell. Number 4: Fermi-level density of states 5.5 states/eV per cell. Number 5: Fermi-level density of states 2.9 states/eV per cell. Number 6: Fermi-level density of states 12.4 states/eV per cell. Number 7: Fermi-level density of states 0.0 states/eV per cell. Number 8: Fermi-level density of states 13.0 states/eV per cell. Number 9: Fermi-level density of states 5.1 states/eV per cell. Number 10: Fermi-level density of states 9.0 states/eV per cell. Number 11: Fermi-level density of states 3.6 states/eV per cell. Number 12: Fermi-level density of states 2.9 states/eV per cell.